Entry from the Alexandria database: GeSeSN2 after structural relaxation (PBE).

Results
symmetry: P4/mmm
M_tot: 0.000 μB per atom
energy above the lowest structure with this stoichiometry: 187.6 meV per atom
uncorrected formation energy: 1.403 eV/atom

The structure in CIF format:
```
data_GeSeSN2
_chemical_formula_sum 'Ge1 Se1 S1 N2'
_symmetry_space_group_name_H-M 'P 1'
_symmetry_Int_Tables_number 1
_symmetry_space_group_name_Hall 'P 1'
_cell_length_a 3.570
_cell_length_b 3.570
_cell_length_c 6.742
_cell_angle_alpha 90.00
_cell_angle_beta 90.00
_cell_angle_gamma 90.00
loop_
_atom_site_label
_atom_site_type_symbol
_atom_site_fract_x
_atom_site_fract_y
_atom_site_fract_z
N1 N 0.000 0.500 0.000
N2 N 0.500 0.000 0.000
Ge1 Ge 0.500 0.500 0.500
S1 S 0.000 0.000 0.000
Se1 Se 0.000 0.000 0.500
```